The following is a PBE with a Hubbard U calculation of a relaxed NaBMoO4 crystal, from the Alexandria database.

Cell: 4.8507 4.8507 6.6624 Å, 90.00 90.00 115.27°
Fractional positions:
Na (0.1814, 0.8186, 0.7500)
Na (0.8186, 0.1814, 0.2500)
B (0.1659, 0.8341, 0.2500)
B (0.8341, 0.1659, 0.7500)
Mo (0.5000, 0.5000, 0.0000)
Mo (0.5000, 0.5000, 0.5000)
O (0.1869, 0.2958, 0.7500)
O (0.2653, 0.7347, 0.0708)
O (0.2653, 0.7347, 0.4292)
O (0.2958, 0.1869, 0.2500)
O (0.7042, 0.8131, 0.7500)
O (0.7347, 0.2653, 0.5708)
O (0.7347, 0.2653, 0.9292)
O (0.8131, 0.7042, 0.2500)

Summary:
The calculation puts the calculated density at 4.539 Mg/m³. The calculation puts the total energy at -6.92 eV/atom. The value obtained for the volume is 10.13 Å³ per atom. As for the space-group type: Cmcm (63). The calculation puts the magnetization at 2.00 μB per formula unit.